(1)
# Y2CrCd, PBEsol geometry, DFT SCAN
# M_tot ... 3.34 μB per formula unit
# Energy relative to the elements ... -0.070 eV per atom
# DOS(E_F) ... 7.0 states/eV/cell
data_Y2CrCd
_chemical_formula_sum 'Y4 Cr2 Cd2'
_symmetry_space_group_name_H-M 'I m m 2'
_symmetry_Int_Tables_number 44
_cell_length_a 3.561
_cell_length_b 4.990
_cell_length_c 10.595
_cell_angle_alpha 90.00
_cell_angle_beta 90.00
_cell_angle_gamma 90.00
loop_
_symmetry_equiv_pos_as_xyz
'x,y,z'
'-x,-y,z'
'-x,y,z'
'x,-y,z'
'x+1/2,y+1/2,z+1/2'
'-x+1/2,-y+1/2,z+1/2'
'-x+1/2,y+1/2,z+1/2'
'x+1/2,-y+1/2,z+1/2'
loop_
_atom_site_label
_atom_site_type_symbol
_atom_site_fract_x
_atom_site_fract_y
_atom_site_fract_z
Y1 Y 0.000 0.000 0.000
Y2 Y 0.000 0.500 0.218
Cr1 Cr 0.000 0.000 0.469
Cd1 Cd 0.000 0.500 0.765

(2)
# Zr2MoCl, PBEsol geometry, DFT SCAN
# M_tot ... 0.00 μB per formula unit
# Uncorrected formation energy ... -0.63 eV/f.u.
# ΔE to the lowest computed polymorph ... 0.00 eV per formula unit
# DOS(E_F) ... 5.0 states/eV/cell
data_Zr2MoCl
_chemical_formula_sum 'Zr4 Mo2 Cl2'
_symmetry_space_group_name_H-M 'C 1 m 1'
_symmetry_Int_Tables_number 8
_cell_length_a 10.024
_cell_length_b 3.190
_cell_length_c 4.592
_cell_angle_alpha 90.00
_cell_angle_beta 96.50
_cell_angle_gamma 90.00
loop_
_symmetry_equiv_pos_as_xyz
'x,y,z'
'x,-y,z'
'x+1/2,y+1/2,z'
'x+1/2,-y+1/2,z'
loop_
_atom_site_label
_atom_site_type_symbol
_atom_site_fract_x
_atom_site_fract_y
_atom_site_fract_z
Zr1 Zr 0.000 0.000 0.000
Zr2 Zr 0.214 0.500 0.565
Mo1 Mo 0.259 0.000 0.065
Cl1 Cl 0.448 0.000 0.529

(3)
# Li4VCr3O8, PBEsol geometry, DFT SCAN
# M_tot ... 11.00 μB per formula unit
# Uncorrected formation energy ... -40.39 eV/f.u.
data_Li4VCr3O8
_chemical_formula_sum 'Li12 V3 Cr9 O24'
_symmetry_space_group_name_H-M 'R -3 m'
_symmetry_Int_Tables_number 166
_symmetry_space_group_name_Hall '-R 3 2"'
_cell_length_a 5.8345
_cell_length_b 5.8345
_cell_length_c 14.1863
_cell_angle_alpha 90.00
_cell_angle_beta 90.00
_cell_angle_gamma 120.00
loop_
_atom_site_label
_atom_site_type_symbol
_atom_site_fract_x
_atom_site_fract_y
_atom_site_fract_z
Li1 Li 0.0000 0.0000 0.0000
Li2 Li 0.0000 0.5000 0.0000
V1 V 0.0000 0.0000 0.5000
Cr1 Cr 0.0000 0.5000 0.5000
O1 O 0.0000 0.0000 0.2416
O2 O 0.0026 0.5013 0.7580

(4)
# YTcRu2, PBEsol geometry, DFT SCAN
# M_tot ... 0.81 μB per formula unit
# Energy relative to the elements ... 0.257 eV per atom
# DOS(E_F) ... 4.0 states/eV/cell
data_YTcRu2
_chemical_formula_sum 'Y1 Tc1 Ru2'
_symmetry_space_group_name_H-M 'P 4 m m'
_symmetry_Int_Tables_number 99
_cell_length_a 2.826
_cell_length_b 2.826
_cell_length_c 8.061
_cell_angle_alpha 90.00
_cell_angle_beta 90.00
_cell_angle_gamma 90.00
loop_
_symmetry_equiv_pos_as_xyz
'x,y,z'
'-y,x,z'
'-x,-y,z'
'y,-x,z'
'-x,y,z'
'y,x,z'
'x,-y,z'
'-y,-x,z'
loop_
_atom_site_label
_atom_site_type_symbol
_atom_site_fract_x
_atom_site_fract_y
_atom_site_fract_z
Y1 Y 0.000 0.000 0.000
Tc1 Tc 0.500 0.500 0.710
Ru1 Ru 0.000 0.000 0.496
Ru2 Ru 0.500 0.500 0.284

(5)
# SrHgCl2, PBEsol geometry, DFT SCAN
# M_tot ... 0.00 μB per formula unit
# Uncorrected formation energy ... -7.29 eV/f.u.
# ΔE to the lowest computed polymorph ... 0.53 eV per formula unit
# DOS(E_F) ... 0.0 states/eV/cell
data_SrHgCl2
_chemical_formula_sum 'Sr4 Hg4 Cl8'
_symmetry_space_group_name_H-M 'F m -3 m'
_symmetry_Int_Tables_number 225
_symmetry_space_group_name_Hall '-F 4 2 3'
_cell_length_a 7.367
_cell_length_b 7.367
_cell_length_c 7.367
_cell_angle_alpha 90.00
_cell_angle_beta 90.00
_cell_angle_gamma 90.00
loop_
_atom_site_label
_atom_site_type_symbol
_atom_site_fract_x
_atom_site_fract_y
_atom_site_fract_z
Sr1 Sr 0.000 0.000 0.000
Hg1 Hg 0.000 0.000 0.500
Cl1 Cl 0.250 0.250 0.250

(6)
# EuFeO3, PBEsol geometry, DFT SCAN
# M_tot ... 10.17 μB per formula unit
# Uncorrected formation energy ... -12.01 eV/f.u.
# DOS(E_F) ... 8.8 states/eV/cell
data_EuFeO3
_chemical_formula_sum 'Eu1 Fe1 O3'
_symmetry_space_group_name_H-M 'P m -3 m'
_symmetry_Int_Tables_number 221
_symmetry_space_group_name_Hall '-P 4 2 3'
_cell_length_a 3.764
_cell_length_b 3.764
_cell_length_c 3.764
_cell_angle_alpha 90.00
_cell_angle_beta 90.00
_cell_angle_gamma 90.00
loop_
_atom_site_label
_atom_site_type_symbol
_atom_site_fract_x
_atom_site_fract_y
_atom_site_fract_z
Eu1 Eu 0.000 0.000 0.000
Fe1 Fe 0.500 0.500 0.500
O1 O 0.000 0.500 0.500

(7)
# CsO2, PBEsol geometry, DFT SCAN
# M_tot ... 1.00 μB per formula unit
# Uncorrected formation energy ... -2.90 eV/f.u.
# ΔE to the lowest computed polymorph ... 0.00 eV per formula unit
# DOS(E_F) ... 0.5 states/eV/cell
data_CsO2
_chemical_formula_sum 'Cs2 O4'
_symmetry_space_group_name_H-M 'I m m m'
_symmetry_Int_Tables_number 71
_symmetry_space_group_name_Hall '-I 2 2'
_cell_length_a 4.760
_cell_length_b 5.073
_cell_length_c 5.969
_cell_angle_alpha 90.00
_cell_angle_beta 90.00
_cell_angle_gamma 90.00
loop_
_atom_site_label
_atom_site_type_symbol
_atom_site_fract_x
_atom_site_fract_y
_atom_site_fract_z
Cs1 Cs 0.000 0.000 0.000
O1 O 0.000 0.132 0.500

(8)
# YCdCl2, PBEsol geometry, DFT SCAN
# M_tot ... 0.00 μB per formula unit
# Uncorrected formation energy ... -4.44 eV/f.u.
# ΔE to the lowest computed polymorph ... 1.31 eV per formula unit
# DOS(E_F) ... 1.8 states/eV/cell
data_YCdCl2
_chemical_formula_sum 'Y1 Cd1 Cl2'
_symmetry_space_group_name_H-M 'P m m m'
_symmetry_Int_Tables_number 47
_cell_length_a 3.627
_cell_length_b 4.439
_cell_length_c 5.484
_cell_angle_alpha 90.00
_cell_angle_beta 90.00
_cell_angle_gamma 90.00
loop_
_symmetry_equiv_pos_as_xyz
'x,y,z'
'-x,-y,-z'
'-x,-y,z'
'x,y,-z'
'x,-y,-z'
'-x,y,z'
'-x,y,-z'
'x,-y,z'
loop_
_atom_site_label
_atom_site_type_symbol
_atom_site_fract_x
_atom_site_fract_y
_atom_site_fract_z
Y1 Y 0.000 0.000 0.000
Cd1 Cd 0.500 0.000 0.500
Cl1 Cl 0.000 0.500 0.500
Cl2 Cl 0.500 0.500 0.000

Q: The highest M_tot belongs to which entry?
A: Li4VCr3O8

Q: Look up the M_tot of the seventh one.
A: 1.00 μB per formula unit

Q: Which value of M_tot does entry 3 give?
A: 11.00 μB per formula unit

What did the third record say?
# Li4VCr3O8, PBEsol geometry, DFT SCAN
# M_tot ... 11.00 μB per formula unit
# Uncorrected formation energy ... -40.39 eV/f.u.
data_Li4VCr3O8
_chemical_formula_sum 'Li12 V3 Cr9 O24'
_symmetry_space_group_name_H-M 'R -3 m'
_symmetry_Int_Tables_number 166
_symmetry_space_group_name_Hall '-R 3 2"'
_cell_length_a 5.8345
_cell_length_b 5.8345
_cell_length_c 14.1863
_cell_angle_alpha 90.00
_cell_angle_beta 90.00
_cell_angle_gamma 120.00
loop_
_atom_site_label
_atom_site_type_symbol
_atom_site_fract_x
_atom_site_fract_y
_atom_site_fract_z
Li1 Li 0.0000 0.0000 0.0000
Li2 Li 0.0000 0.5000 0.0000
V1 V 0.0000 0.0000 0.5000
Cr1 Cr 0.0000 0.5000 0.5000
O1 O 0.0000 0.0000 0.2416
O2 O 0.0026 0.5013 0.7580